No. 1
Rb2YAlS4 | PBE | relaxed

The structure in POSCAR format:
```
Rb2YAlS4
1.0
-4.032 4.230 5.857
4.032 -4.230 5.857
4.032 4.230 -5.857
Rb Y Al S
4 2 2 8
Direct
0.000 0.000 0.000
0.500 0.000 0.000
0.500 0.000 0.500
0.500 0.500 0.500
0.000 0.500 0.500
0.500 0.500 0.000
0.000 0.000 0.500
0.000 0.500 0.000
0.182 0.737 0.444
0.207 0.263 0.944
0.220 0.249 0.529
0.220 0.691 0.971
0.780 0.309 0.029
0.780 0.751 0.471
0.793 0.737 0.056
0.818 0.263 0.556
```

Summary:
formation energy (no corrections) = -1308 meV per atom
total DFT energy (no corrections) = -0.1797 Ha/atom
calculated density = 3.45 g cm⁻³


No. 2
Mn5SbRh6 | PBE | relaxed

The structure in POSCAR format:
```
Mn5SbRh6
1.0
-2.180 3.074 6.550
2.180 -3.074 6.550
2.180 3.074 -6.550
Mn Sb Rh
5 1 6
Direct
0.000 0.000 0.000
0.167 0.667 0.500
0.330 0.330 0.000
0.670 0.670 0.000
0.833 0.333 0.500
0.500 0.000 0.500
0.080 0.832 0.248
0.246 0.500 0.746
0.416 0.168 0.248
0.584 0.832 0.752
0.754 0.500 0.254
0.920 0.168 0.752
```

Summary:
N(E_F) = 6.640 states/eV/f.u.
formation energy (no corrections) = -266 meV per atom
total DFT energy (no corrections) = -0.2979 Ha/atom
calculated density = 9.59 g cm⁻³


What is the formation energy (no corrections) in the second record? -266 meV per atom


Please write out number 1 again, unchanged.
Rb2YAlS4 | PBE | relaxed

The structure in POSCAR format:
```
Rb2YAlS4
1.0
-4.032 4.230 5.857
4.032 -4.230 5.857
4.032 4.230 -5.857
Rb Y Al S
4 2 2 8
Direct
0.000 0.000 0.000
0.500 0.000 0.000
0.500 0.000 0.500
0.500 0.500 0.500
0.000 0.500 0.500
0.500 0.500 0.000
0.000 0.000 0.500
0.000 0.500 0.000
0.182 0.737 0.444
0.207 0.263 0.944
0.220 0.249 0.529
0.220 0.691 0.971
0.780 0.309 0.029
0.780 0.751 0.471
0.793 0.737 0.056
0.818 0.263 0.556
```

Summary:
formation energy (no corrections) = -1308 meV per atom
total DFT energy (no corrections) = -0.1797 Ha/atom
calculated density = 3.45 g cm⁻³


Repeat the first record exactly.
Rb2YAlS4 | PBE | relaxed

The structure in POSCAR format:
```
Rb2YAlS4
1.0
-4.032 4.230 5.857
4.032 -4.230 5.857
4.032 4.230 -5.857
Rb Y Al S
4 2 2 8
Direct
0.000 0.000 0.000
0.500 0.000 0.000
0.500 0.000 0.500
0.500 0.500 0.500
0.000 0.500 0.500
0.500 0.500 0.000
0.000 0.000 0.500
0.000 0.500 0.000
0.182 0.737 0.444
0.207 0.263 0.944
0.220 0.249 0.529
0.220 0.691 0.971
0.780 0.309 0.029
0.780 0.751 0.471
0.793 0.737 0.056
0.818 0.263 0.556
```

Summary:
formation energy (no corrections) = -1308 meV per atom
total DFT energy (no corrections) = -0.1797 Ha/atom
calculated density = 3.45 g cm⁻³